{"formula": "KSm2Tm", "functional": "PBE", "state": "optimized geometry", "sg": "R-3m", "vol_a3_per_atom": 37.6, "energy_ev_per_atom": -3.54, "lattice_angstrom": [[3.6122, 0.0000, 0.0000], [1.8061, 3.1283, 0.0000], [1.8061, 1.0428, 13.2966]], "species": ["Tm", "K", "Sm", "Sm"], "fractional_positions": [[0.5000, 0.5000, 0.5000], [0.0000, 0.0000, 0.0000], [0.9037, 0.9037, 0.2889], [0.0963, 0.0963, 0.7111]]}